Entry 1:
First-principles (PBE) data for an optimized crystal structure of CsGaF2, as listed in Alexandria via LeMat-Bulk.

## Properties
Crystal system ... tetragonal

a b c (Å): 6.1028 6.1028 12.2909
angles (deg): 90.00 90.00 90.00
With the nearest neighbours (Å) after each atom.
Space group I-42d (No. 122)
Inequivalent atoms, fractional coordinates:
Cs1 0.0000 0.0000 0.0000 [4 per cell]  4 F 2.91
Ga1 0.0000 0.0000 0.5000 [4 per cell]  4 F 2.43
F1 0.1808 0.2500 0.6250 [8 per cell]  2 Ga 2.43

---

Entry 2:
First-principles (PBE) data for an optimized crystal structure of Cs2GaF4, as listed in Alexandria via LeMat-Bulk.

## Properties
Crystal system ... tetragonal

a b c (Å): 4.4363 4.4363 15.0150
angles (deg): 90.00 90.00 90.00
With the nearest neighbours (Å) after each atom.
Space group I4/mmm (No. 139)
Inequivalent atoms, fractional coordinates:
Cs1 0.0000 0.0000 0.1475 [4 per cell]  9 F 3.13-3.14
Ga1 0.0000 0.0000 0.5000 [2 per cell]  6 F 2.16-2.22
F1 0.0000 0.0000 0.3562 [4 per cell]  1 Ga 2.16
F2 0.0000 0.5000 0.0000 [4 per cell]  2 Ga 2.22

---

Entry 3:
First-principles (PBE) data for an optimized crystal structure of Cs2GaF5, as listed in Alexandria via LeMat-Bulk.

## Properties
Crystal system ... tetragonal

a b c (Å): 6.6911 6.6911 8.4989
angles (deg): 90.00 90.00 90.00
With the nearest neighbours (Å) after each atom.
Space group I4mm (No. 107)
Inequivalent atoms, fractional coordinates:
Cs1 0.0000 0.5000 0.0000 [4 per cell]  10 F 3.09-3.36
Ga1 0.0000 0.0000 0.2258 [2 per cell]  5 F 1.83-1.89
F1 0.0000 0.0000 0.0105 [2 per cell]  1 Ga 1.83
F2 0.1947 0.1947 0.2739 [8 per cell]  1 Ga 1.89

---

Entry 4:
First-principles (PBE) data for an optimized crystal structure of Cs2GaF, as listed in Alexandria via LeMat-Bulk.

## Properties
Crystal system ... cubic

a b c (Å): 8.5651 8.5651 8.5651
angles (deg): 90.00 90.00 90.00
With the nearest neighbours (Å) after each atom.
Space group Fm-3m (No. 225)
Inequivalent atoms, fractional coordinates:
Cs1 0.2500 0.2500 0.2500 [8 per cell]  4 F 3.71, 4 Ga 3.71
Ga1 0.0000 0.0000 0.0000 [4 per cell]  8 Cs 3.71
F1 0.0000 0.0000 0.5000 [4 per cell]  8 Cs 3.71

---

Entry 5:
First-principles (PBE) data for an optimized crystal structure of Cs2Ga2F, as listed in Alexandria via LeMat-Bulk.

## Properties
Crystal system ... tetragonal

a b c (Å): 7.4295 7.4295 7.3012
angles (deg): 90.00 90.00 90.00
With the nearest neighbours (Å) after each atom.
Space group I4/mmm (No. 139)
Inequivalent atoms, fractional coordinates:
Cs1 0.0000 0.5000 0.2500 [4 per cell]  2 Cs 3.65, 4 Ga 3.75
Ga1 0.0000 0.0000 0.1766 [4 per cell]  1 F 2.36, 1 Ga 2.58
F1 0.0000 0.0000 0.5000 [2 per cell]  2 Ga 2.36

---

Entry 6:
First-principles (PBE) data for an optimized crystal structure of Cs3Ga2F9, as listed in Alexandria via LeMat-Bulk.

## Properties
Crystal system ... trigonal

a b c (Å): 11.1095 11.1095 15.2378
angles (deg): 90.00 90.00 120.00
With the nearest neighbours (Å) after each atom.
Space group R-3c (No. 167, hexagonal axes)
Inequivalent atoms, fractional coordinates:
Cs1 0.0000 0.3445 0.2500 [18 per cell]  12 F 3.15-3.43
Ga1 0.0000 0.0000 0.1552 [12 per cell]  6 F 1.86-2.05
F1 0.0000 0.1309 0.7500 [18 per cell]  2 Ga 2.05
F2 0.0029 0.1503 0.4001 [36 per cell]  1 Ga 1.86

---

Entry 7:
First-principles (PBE) data for an optimized crystal structure of CsGa4F2, as listed in Alexandria via LeMat-Bulk.

## Properties
Crystal system ... tetragonal

a b c (Å): 6.3485 6.3485 13.3363
angles (deg): 90.00 90.00 90.00
With the nearest neighbours (Å) after each atom.
Space group I4/mmm (No. 139)
Inequivalent atoms, fractional coordinates:
Cs1 0.0000 0.0000 0.0000 [2 per cell]  6 Ga 3.17-3.48
Ga1 0.0000 0.0000 0.2609 [4 per cell]  1 F 1.85
Ga2 0.0000 0.5000 0.0000 [4 per cell]  2 Cs 3.17, 4 F 3.44
F1 0.0000 0.0000 0.3996 [4 per cell]  1 Ga 1.85

---

Entry 8:
First-principles (PBE) data for an optimized crystal structure of Cs3GaF, as listed in Alexandria via LeMat-Bulk.

## Properties
Crystal system ... cubic

a b c (Å): 6.9601 6.9601 6.9601
angles (deg): 90.00 90.00 90.00
With the nearest neighbours (Å) after each atom.
Space group Pm-3m (No. 221)
Inequivalent atoms, fractional coordinates:
Cs1 0.0000 0.0000 0.5000 [3 per cell]  2 Ga 3.48
Ga1 0.0000 0.0000 0.0000 [1 per cell]  6 Cs 3.48
F1 0.5000 0.5000 0.5000 [1 per cell]  12 Cs 4.92

---

Listing total DFT energy (no corrections) for the structures above in their given order: -15.72 -29.47 -36.24 -9.47 -12.14 -64.55 -18.39 -9.72 eV/f.u..
Listing N(E_F) for the structures above in their given order: 0.0 3.5 0.0 18.1 4.1 0.0 11.7 3.3 states/eV per cell.